1.
Material: SrGa2HgIr
Method: DFT, GGA-PBE
State: optimized geometry

Cell lengths 4.8465, 4.8465, 5.8568 Å; angles 90.00, 90.00, 90.00 degrees
Space group P4/mmm (No. 123)
Symmetry-distinct sites (fractional):
Sr  0.0000  0.0000  0.0000 [1 per cell]
Ga  0.0000  0.5000  0.5000 [2 per cell]
Hg  0.5000  0.5000  0.0000 [1 per cell]
Ir  0.0000  0.0000  0.5000 [1 per cell]

Results
N(E_F) = 0.31 states/eV/atom
Energy of formation = -0.36 eV/atom

=====

2.
Material: Na2CrCdCl6
Method: DFT, GGA-PBE
State: optimized geometry

Cell lengths 6.6570, 7.3195, 11.4826 Å; angles 90.00, 122.43, 90.00 degrees
Space group P2_1/c (No. 14)
Symmetry-distinct sites (fractional):
Na  0.2041  0.0955  0.2374 [4 per cell]
Cr  0.5000  0.0000  0.0000 [2 per cell]
Cd  0.0000  0.0000  0.5000 [2 per cell]
Cl  0.1507  0.1696  0.9466 [4 per cell]
Cl  0.2339  0.6763  0.9251 [4 per cell]
Cl  0.4016  0.0420  0.7669 [4 per cell]

Results
Formation energy (no corrections) = -1.301 eV per atom

=====

3.
Material: Rb3LiAu
Method: DFT, GGA-PBE
State: optimized geometry

Cell lengths 6.7603, 6.7603, 6.7603 Å; angles 90.00, 90.00, 90.00 degrees
Space group Pm-3m (No. 221)
Symmetry-distinct sites (fractional):
Rb  0.0000  0.0000  0.5000 [3 per cell]
Li  0.5000  0.5000  0.5000 [1 per cell]
Au  0.0000  0.0000  0.0000 [1 per cell]

Results
N(E_F) = 1.43 states/eV/atom
Energy of formation = 0.01 eV/atom

=====

4.
Material: Ba6Rh2SBr3
Method: DFT, GGA-PBE
State: optimized geometry

Cell lengths 7.9465, 13.7659, 8.5047 Å; angles 90.00, 108.15, 90.00 degrees
Space group C2/m (No. 12)
Symmetry-distinct sites (fractional):
Ba  0.2291  0.0000  0.2093 [4 per cell]
Ba  0.2402  0.3297  0.2095 [8 per cell]
Rh  0.0000  0.1667  0.0000 [4 per cell]
S  0.0000  0.5000  0.0000 [2 per cell]
Br  0.0000  0.0000  0.5000 [2 per cell]
Br  0.0000  0.3352  0.5000 [4 per cell]

Results
Formation energy (no corrections) = -1.272 eV per atom
N(E_F) = 0.46 states/eV/atom

=====

5.
Material: Ca5Ag2Pd
Method: DFT, GGA-PBE
State: optimized geometry

Cell lengths 7.9144, 12.6812, 4.6443 Å; angles 90.00, 90.00, 90.00 degrees
Space group Pbam (No. 55)
Symmetry-distinct sites (fractional):
Ca  0.0000  0.0000  0.0000 [2 per cell]
Ca  0.1537  0.2961  0.0000 [4 per cell]
Ca  0.1796  0.5835  0.5000 [4 per cell]
Ag  0.0608  0.8336  0.5000 [4 per cell]
Pd  0.0000  0.5000  0.0000 [2 per cell]

Results
N(E_F) = 0.40 states/eV/atom
Energy of formation = -0.37 eV/atom